Tb6Tm3Sc2: optimized geometry, GGA-PBE.

Output
The formation energy is 0.314 eV/atom. The calculation puts the total moment at 0.00 μB per formula unit. Its density of states at the Fermi level is 1.567 states/eV/atom. The calculation puts the energy above the most stable polymorph in this dataset at 111 meV per atom.

a = 4.688 Å, b = 4.688 Å, c = 31.809 Å
α = 90.00°, β = 90.00°, γ = 90.00°
Space group I4/mmm (No. 139)
One atom of each set of equivalent atoms:
Tb  0.000  0.000  0.195 x4
Tb  0.000  0.500  0.116 x8
Tm  0.000  0.000  0.302 x4
Tm  0.000  0.000  0.500 x2
Sc  0.000  0.000  0.043 x4